Material: NiCOF2
Method: DFT, PBE+U
State: relaxed

a = 3.812 Å, b = 3.812 Å, c = 3.885 Å
α = 90.00°, β = 90.00°, γ = 90.00°
Sites, in units of the cell vectors:
Ni1 0.000 0.000 0.000
C1 0.500 0.500 0.500
O1 0.000 0.000 0.500
F1 0.000 0.500 0.000
F2 0.500 0.000 0.000

**Total magnetization**: 2.0 μB per formula unit
**Volume**: 56.45 Å³ per cell
**Space-group type**: P4/mmm, No. 123
**E above lowest polymorph**: 141 kJ/mol of formula units